The following is a DFT calculation (SCAN) of a PBEsol-optimized structure of CaTaIr.

Values from the calculation:
total DFT energy (no corrections)	-49.10	eV/atom
space group	P3m1 (156)

Lattice parameters (Å, degrees): 3.770 3.770 6.166 90.00 90.00 120.00
Fractional positions:
1 Ca 0.000 0.000 0.000
2 Ta 0.667 0.333 0.487
3 Ir 0.333 0.667 0.666

***

The following is a DFT calculation (SCAN) of a PBEsol-optimized structure of HgP2.

Values from the calculation:
total DFT energy (no corrections)	-29.37	eV/atom
space group	I4_1/amd (141)

Lattice parameters (Å, degrees): 5.676 5.676 5.676 128.71 128.71 75.48
Fractional positions:
1 Hg 0.375 0.625 0.750
2 Hg 0.625 0.375 0.250
3 P 0.003 0.753 0.250
4 P 0.247 0.997 0.250
5 P 0.753 0.003 0.750
6 P 0.997 0.247 0.750

***

The following is a DFT calculation (SCAN) of a PBEsol-optimized structure of Co2Tc.

Values from the calculation:
distance to the lowest polymorph of the same formula	70.8	meV per atom
total DFT energy (no corrections)	-23.02	eV/atom
space group	Immm (71)

Lattice parameters (Å, degrees): 4.334 4.334 4.334 146.04 131.68 60.37
Fractional positions:
1 Co 0.168 0.168 0.000
2 Co 0.832 0.832 0.000
3 Tc 0.500 0.500 0.000

***

| no. | total magnetization (μB/cell) |
| --- | --- |
| 1 | 0.00 |
| 2 | 0.00 |
| 3 | 1.72 |